(1)
! GGA-PBE Ge3WBr, optimized geometry; values from VASP
! density of states at the Fermi level: 5.19 states/eV/f.u.
! symmetry: No. 221
! volume: 25.22 A^3/atom
! VASP energy: -19.4 eV for the cell shown
! calculated density: 6344 kg/m3
! E_form (uncorrected): 1.8238 eV per atom
&SYSTEM
  ibrav = 0, nat = 5, ntyp = 3
/
ATOMIC_SPECIES
Ge 72.64 Ge.upf
Br 79.90 Br.upf
W 183.84 W.upf
ATOMIC_POSITIONS angstrom
Ge 0.000 2.507 0.000
Ge 0.000 0.000 2.507
Ge 2.507 0.000 0.000
Br 0.000 0.000 0.000
W 2.507 2.507 2.507
CELL_PARAMETERS angstrom
5.014 0.000 0.000
0.000 5.014 0.000
0.000 0.000 5.014

=====

(2)
! GGA-PBE Ge3WBr, optimized geometry; values from VASP
! density of states at the Fermi level: 3.03 states/eV/f.u.
! symmetry: No. 221
! volume: 24.43 A^3/atom
! VASP energy: -27.1 eV for the cell shown
! calculated density: 6547 kg/m3
! E_form (uncorrected): 0.2848 eV per atom
&SYSTEM
  ibrav = 0, nat = 5, ntyp = 3
/
ATOMIC_SPECIES
Ge 72.64 Ge.upf
Br 79.90 Br.upf
W 183.84 W.upf
ATOMIC_POSITIONS angstrom
Ge 0.000 2.481 0.000
Ge 0.000 0.000 2.481
Ge 2.481 0.000 0.000
Br 2.481 2.481 2.481
W 0.000 0.000 0.000
CELL_PARAMETERS angstrom
4.962 0.000 0.000
0.000 4.962 0.000
0.000 0.000 4.962

=====

(3)
! GGA-PBE GeWBr3, optimized geometry; values from VASP
! density of states at the Fermi level: 4.83 states/eV/f.u.
! symmetry: No. 221
! volume: 27.95 A^3/atom
! VASP energy: -19.2 eV for the cell shown
! calculated density: 5895 kg/m3
! E_form (uncorrected): 0.6704 eV per atom
&SYSTEM
  ibrav = 0, nat = 5, ntyp = 3
/
ATOMIC_SPECIES
Ge 72.64 Ge.upf
Br 79.90 Br.upf
W 183.84 W.upf
ATOMIC_POSITIONS angstrom
Ge 2.595 2.595 2.595
Br 0.000 2.595 0.000
Br 0.000 0.000 2.595
Br 2.595 0.000 0.000
W 0.000 0.000 0.000
CELL_PARAMETERS angstrom
5.190 0.000 0.000
0.000 5.190 0.000
0.000 0.000 5.190

=====

(4)
! GGA-PBE Y4Ge2Br3, optimized geometry; values from VASP
! density of states at the Fermi level: 2.92 states/eV/f.u.
! symmetry: No. 12
! volume: 29.38 A^3/atom
! VASP energy: -51.9 eV for the cell shown
! calculated density: 4651 kg/m3
! E_form (uncorrected): -1.3086 eV per atom
&SYSTEM
  ibrav = 0, nat = 9, ntyp = 3
/
ATOMIC_SPECIES
Y 88.91 Y.upf
Ge 72.64 Ge.upf
Br 79.90 Br.upf
ATOMIC_POSITIONS angstrom
Y -2.214 14.279 6.219
Y -4.900 4.134 1.584
Y 0.454 11.446 6.461
Y -2.231 1.301 1.826
Ge -4.159 12.783 4.839
Ge -0.286 2.797 3.206
Br -3.001 5.907 3.037
Br 0.000 0.000 0.000
Br -1.445 9.673 5.008
CELL_PARAMETERS angstrom
-4.084 -0.760 0.297
2.453 -0.467 3.333
-2.814 16.807 4.415

=====

(5)
! GGA-PBE YGeBr, optimized geometry; values from VASP
! density of states at the Fermi level: 1.26 states/eV/f.u.
! symmetry: No. 12
! volume: 32.75 A^3/atom
! VASP energy: -29.2 eV for the cell shown
! calculated density: 4081 kg/m3
! E_form (uncorrected): -0.6128 eV per atom
&SYSTEM
  ibrav = 0, nat = 6, ntyp = 3
/
ATOMIC_SPECIES
Y 88.91 Y.upf
Ge 72.64 Ge.upf
Br 79.90 Br.upf
ATOMIC_POSITIONS angstrom
Y -3.222 4.384 12.315
Y 0.760 0.451 1.569
Ge -1.970 1.490 6.830
Ge -0.491 3.345 7.054
Br 0.844 -0.586 4.327
Br -3.305 5.421 9.557
CELL_PARAMETERS angstrom
-1.153 -3.420 1.541
3.747 1.131 0.316
-5.056 7.125 12.028

=====

(6)
! GGA-PBE Y2GeBr3, optimized geometry; values from VASP
! density of states at the Fermi level: 0.21 states/eV/f.u.
! symmetry: No. 12
! volume: 31.67 A^3/atom
! VASP energy: -61.7 eV for the cell shown
! calculated density: 4283 kg/m3
! E_form (uncorrected): -1.3847 eV per atom
&SYSTEM
  ibrav = 0, nat = 12, ntyp = 3
/
ATOMIC_SPECIES
Y 88.91 Y.upf
Ge 72.64 Ge.upf
Br 79.90 Br.upf
ATOMIC_POSITIONS angstrom
Y 6.114 5.598 7.843
Y 2.038 5.678 1.471
Y 4.076 3.084 5.400
Y 4.076 8.192 3.915
Ge 4.076 5.897 5.862
Ge 4.076 5.379 3.452
Br 2.038 2.730 7.508
Br 6.114 8.547 1.806
Br 6.114 8.176 9.220
Br 2.038 3.101 0.094
Br 6.114 9.344 5.590
Br 2.038 1.933 3.724
CELL_PARAMETERS angstrom
4.076 0.000 0.000
2.038 9.387 -0.515
2.038 1.889 9.829

=====

(7)
! GGA-PBE YGe2Br8, optimized geometry; values from VASP
! density of states at the Fermi level: 6.02 states/eV/f.u.
! symmetry: No. 12
! volume: 42.68 A^3/atom
! VASP energy: -39.3 eV for the cell shown
! calculated density: 3089 kg/m3
! E_form (uncorrected): -0.9309 eV per atom
&SYSTEM
  ibrav = 0, nat = 11, ntyp = 3
/
ATOMIC_SPECIES
Y 88.91 Y.upf
Ge 72.64 Ge.upf
Br 79.90 Br.upf
ATOMIC_POSITIONS angstrom
Y 0.000 0.000 0.000
Ge 6.271 8.347 6.333
Ge 2.936 2.036 1.545
Br 2.617 3.736 7.197
Br 6.590 2.446 6.218
Br 3.544 7.865 5.968
Br 5.663 2.517 1.910
Br 2.617 7.937 1.660
Br 6.590 6.646 0.681
Br 7.255 6.615 5.019
Br 1.952 3.768 2.859
CELL_PARAMETERS angstrom
7.303 0.694 0.526
0.951 8.100 -0.615
0.951 1.589 7.967

=====

(8)
! GGA-PBE Y2GeBr2, optimized geometry; values from VASP
! density of states at the Fermi level: 0.80 states/eV/f.u.
! symmetry: No. 127
! volume: 24.75 A^3/atom
! VASP energy: -50.0 eV for the cell shown
! calculated density: 5505 kg/m3
! E_form (uncorrected): -0.8224 eV per atom
&SYSTEM
  ibrav = 0, nat = 10, ntyp = 3
/
ATOMIC_SPECIES
Y 88.91 Y.upf
Ge 72.64 Ge.upf
Br 79.90 Br.upf
ATOMIC_POSITIONS angstrom
Y 2.717 6.761 0.000
Y 6.761 5.371 0.000
Y 5.371 1.327 0.000
Y 1.327 2.717 0.000
Ge 0.000 0.000 0.000
Ge 4.044 4.044 0.000
Br 1.068 5.113 1.892
Br 5.113 7.020 1.892
Br 7.020 2.976 1.892
Br 2.976 1.068 1.892
CELL_PARAMETERS angstrom
8.089 0.000 0.000
0.000 8.089 0.000
0.000 0.000 3.783